Record 1
# SiTeW

A crystal of SiTeW relaxed with PBEsol (SCAN, Alexandria via LeMat-Bulk).

## Properties
Fermi-level density of states = 2.170 states/eV/f.u.
E_form (uncorrected) = 75.68 kJ/mol of atoms
Density = 9.2 g/cm³
Total magnetization = 1.51 μB per formula unit

a b c (Å): 6.254 6.254 6.254
angles (deg): 90.00 90.00 90.00
Space group F-43m (No. 216)
One atom of each set of equivalent atoms:
Si1 0.000 0.000 0.000 x4
Te1 0.000 0.000 0.500 x4
W1 0.250 0.250 0.750 x4

---

Record 2
# LiTlSb3

A crystal of LiTlSb3 relaxed with PBEsol (SCAN, Alexandria via LeMat-Bulk).

## Properties
Fermi-level density of states = 4.303 states/eV/f.u.
E_form (uncorrected) = 71.43 kJ/mol of atoms
Density = 5.2 g/cm³
Total magnetization = 0.00 μB per formula unit

a b c (Å): 5.673 5.673 5.673
angles (deg): 90.00 90.00 90.00
Space group Pm-3m (No. 221)
One atom of each set of equivalent atoms:
Li1 0.000 0.000 0.000 x1
Tl1 0.500 0.500 0.500 x1
Sb1 0.000 0.500 0.500 x3

---

Record 3
# Li2ZrIn

A crystal of Li2ZrIn relaxed with PBEsol (SCAN, Alexandria via LeMat-Bulk).

## Properties
Formation energy from the elements = -0.1056 eV per atom
Fermi-level density of states = 1.820 states/eV/f.u.
Density = 4.6 g/cm³
Total magnetization = 0.00 μB per formula unit

a b c (Å): 2.896 4.932 5.530
angles (deg): 90.00 93.74 90.00
Space group P2/m (No. 10)
One atom of each set of equivalent atoms:
Li1 0.172 0.000 0.252 x2
Zr1 0.500 0.500 0.000 x1
In1 0.000 0.500 0.500 x1

---

Record 4
# Ba2NaLi2

A crystal of Ba2NaLi2 relaxed with PBEsol (SCAN, Alexandria via LeMat-Bulk).

## Properties
Formation energy from the elements = 0.0376 eV per atom
Fermi-level density of states = 3.997 states/eV/f.u.
Density = 2.5 g/cm³
Total magnetization = 0.00 μB per formula unit

a b c (Å): 9.038 9.038 5.103
angles (deg): 90.00 90.00 90.00
Space group P4/mbm (No. 127)
One atom of each set of equivalent atoms:
Ba1 0.176 0.324 0.000 x4
Na1 0.000 0.000 0.500 x2
Li1 0.118 0.618 0.500 x4

---

Record 5
# BaSrSe2

A crystal of BaSrSe2 relaxed with PBEsol (SCAN, Alexandria via LeMat-Bulk).

## Properties
Fermi-level density of states = 0.000 states/eV/f.u.
E_form (uncorrected) = -216.39 kJ/mol of atoms
Density = 4.9 g/cm³
Total magnetization = 0.00 μB per formula unit

a b c (Å): 4.4227 4.4227 23.0826
angles (deg): 90.00 90.00 120.00
Space group R3m (No. 160, hexagonal axes)
One atom of each set of equivalent atoms:
Ba1 0.0000 0.0000 0.0000 x3
Sr1 0.0000 0.0000 0.1692 x3
Se1 0.0000 0.0000 0.5797 x3
Se2 0.0000 0.0000 0.7566 x3

---

Record 6
# NaYSi2O6

A crystal of NaYSi2O6 relaxed with PBEsol (SCAN, Alexandria via LeMat-Bulk).

## Properties
Fermi-level density of states = 0.000 states/eV/f.u.
E_form (uncorrected) = -308.12 kJ/mol of atoms
Density = 3.6 g/cm³
Total magnetization = 0.00 μB per formula unit

a b c (Å): 8.197 10.378 17.611
angles (deg): 90.00 100.52 90.00
Space group C2/c (No. 15)
One atom of each set of equivalent atoms:
Na1 0.000 0.122 0.250 x4
Na2 0.179 0.184 0.083 x8
Y1 0.000 0.396 0.750 x4
Y2 0.187 0.452 0.572 x8
Si1 0.005 0.174 0.601 x8
Si2 0.136 0.327 0.399 x8
Si3 0.233 0.121 0.744 x8
O1 0.004 0.326 0.877 x8
O2 0.028 0.402 0.453 x8
O3 0.058 0.089 0.682 x8
O4 0.094 0.177 0.384 x8
O5 0.127 0.403 0.315 x8
O6 0.161 0.119 0.951 x8
O7 0.167 0.159 0.556 x8
O8 0.213 0.494 0.196 x8
O9 0.228 0.265 0.777 x8

---

Record 7
# ZrAg2Os

A crystal of ZrAg2Os relaxed with PBEsol (SCAN, Alexandria via LeMat-Bulk).

## Properties
Formation energy from the elements = 0.2872 eV per atom
Fermi-level density of states = 3.125 states/eV/f.u.
Density = 12.4 g/cm³
Total magnetization = 0.00 μB per formula unit

a b c (Å): 2.8195 2.8195 29.0712
angles (deg): 90.00 90.00 120.00
Space group R3m (No. 160, hexagonal axes)
One atom of each set of equivalent atoms:
Zr1 0.0000 0.0000 0.0000 x3
Ag1 0.0000 0.0000 0.5043 x3
Ag2 0.0000 0.0000 0.7557 x3
Os1 0.0000 0.0000 0.2515 x3

---

Record 8
# MgReAs

A crystal of MgReAs relaxed with PBEsol (SCAN, Alexandria via LeMat-Bulk).

## Properties
Formation energy from the elements = 0.1336 eV per atom
Fermi-level density of states = 1.509 states/eV/f.u.
Density = 9.4 g/cm³
Total magnetization = 0.00 μB per formula unit

a b c (Å): 4.1683 4.1683 3.3676
angles (deg): 90.00 90.00 120.00
Space group P-6m2 (No. 187)
One atom of each set of equivalent atoms:
Mg1 0.0000 0.0000 0.0000 x1
Re1 0.6667 0.3333 0.5000 x1
As1 0.3333 0.6667 0.5000 x1

---

In the order shown, the computed E_tot values come out to -38.20, -36.57, -17.32, -17.58, -27.74, -12.14, -41.04, -31.95 eV per atom.